Record 1
DFT (PBE) results for a relaxed Sc2Tc2O5 crystal.

Cell: 3.4892 3.4892 8.7857 Å, 90.00 90.00 90.00°
Last column: nearest neighbours and their distance in Å.
Fractional coordinates of all 9 atoms:
Sc (0.0000, 0.0000, 0.2416)  5 O 2.05-2.12
Sc (0.0000, 0.0000, 0.7584)  5 O 2.05-2.12
Tc (0.5000, 0.5000, 0.0000)  4 O 2.47
Tc (0.5000, 0.5000, 0.5000)  8 O 2.12
O (0.0000, 0.0000, 0.0000)  2 Sc 2.12
O (0.0000, 0.5000, 0.3638)  2 Sc 2.05, 2 Tc 2.12
O (0.0000, 0.5000, 0.6362)  2 Sc 2.05, 2 Tc 2.12
O (0.5000, 0.0000, 0.3638)  2 Sc 2.05, 2 Tc 2.12
O (0.5000, 0.0000, 0.6362)  2 Sc 2.05, 2 Tc 2.12

ΔE to the lowest computed polymorph	22	meV per atom

=====

Record 2
DFT (PBE) results for a relaxed TbAsPb crystal.

Cell: 5.0523 5.0523 5.0523 Å, 60.00 60.00 60.00°
Last column: nearest neighbours and their distance in Å.
Fractional coordinates of all 3 atoms:
Tb (0.0000, 0.0000, 0.0000)  4 Pb 3.09
As (0.5000, 0.5000, 0.5000)  4 Pb 3.09
Pb (0.7500, 0.7500, 0.7500)  4 As 3.09, 4 Tb 3.09

electronic total energy	-12.94	eV per cell

=====

Record 3
DFT (PBE) results for a relaxed ZrAlCuNi crystal.

Cell: 4.1799 4.1799 8.0550 Å, 90.00 90.00 120.00°
Last column: nearest neighbours and their distance in Å.
Fractional coordinates of all 8 atoms:
Zr (0.3333, 0.6667, 0.2599)  4 Ni 2.61-2.72, 4 Cu 2.78-2.80
Zr (0.6667, 0.3333, 0.7401)  4 Ni 2.61-2.72, 4 Cu 2.78-2.80
Al (0.0000, 0.0000, 0.0000)  6 Cu 2.51
Al (0.0000, 0.0000, 0.5000)  6 Ni 2.51
Cu (0.3333, 0.6667, 0.9126)  3 Al 2.51, 1 Ni 2.65, 4 Zr 2.78-2.80, 3 Cu 2.79
Cu (0.6667, 0.3333, 0.0874)  3 Al 2.51, 1 Ni 2.65, 4 Zr 2.78-2.80, 3 Cu 2.79
Ni (0.3333, 0.6667, 0.5839)  3 Al 2.51, 4 Zr 2.61-2.72, 1 Cu 2.65, 3 Ni 2.77
Ni (0.6667, 0.3333, 0.4161)  3 Al 2.51, 4 Zr 2.61-2.72, 1 Cu 2.65, 3 Ni 2.77

electronic total energy	-47.10	eV per cell

=====

Record 4
DFT (PBE) results for a relaxed K4FeP2S8 crystal.

Cell: 6.4526 6.9804 9.0223 Å, 86.79 81.85 84.49°
Last column: nearest neighbours and their distance in Å.
Fractional coordinates of all 15 atoms:
K (0.2105, 0.1617, 0.3594)  7 S 3.23-3.49, 1 Fe 3.54
K (0.2454, 0.7198, 0.9816)  5 S 3.11-3.28
K (0.7546, 0.2802, 0.0184)  5 S 3.11-3.28
K (0.7895, 0.8383, 0.6406)  7 S 3.23-3.49, 1 Fe 3.54
Fe (0.5000, 0.5000, 0.5000)  4 S 2.24
P (0.3280, 0.2346, 0.7604)  4 S 2.03-2.11
P (0.6720, 0.7654, 0.2396)  4 S 2.03-2.11
S (0.1868, 0.4623, 0.6363)  1 P 2.10, 1 Fe 2.24
S (0.2598, 0.2487, 0.9871)  1 P 2.04
S (0.2755, 0.9767, 0.6873)  1 P 2.03
S (0.3661, 0.6923, 0.3228)  1 P 2.11, 1 Fe 2.24
S (0.6339, 0.3077, 0.6772)  1 P 2.11, 1 Fe 2.24
S (0.7245, 0.0233, 0.3127)  1 P 2.03
S (0.7402, 0.7513, 0.0129)  1 P 2.04
S (0.8132, 0.5377, 0.3637)  1 P 2.10, 1 Fe 2.24

electronic total energy	-68.79	eV per cell